Record 1
Ca2ZnGa3 after structural relaxation. Source: the Alexandria database, functional PBEsol.

Calculated values
As for the symmetry: No. 8. The formation enthalpy at 0 K comes out at -0.51 eV/atom. As for the final energy: -18.94 eV per cell. The calculation puts the density of states at the Fermi level at 2.10 states/eV per cell.

Lattice parameters (Å, degrees): 4.431 5.682 5.689 79.08 67.08 67.05
Sites, in units of the cell vectors:
Ga 0.835 0.109 0.222
Ga 0.841 0.715 0.603
Ga 0.160 0.900 0.780
Zn 0.166 0.273 0.395
Ca 0.543 0.707 0.206
Ca 0.455 0.296 0.794


Record 2
Ca3ZrGa after structural relaxation. Source: the Alexandria database, functional PBEsol.

Calculated values
As for the symmetry: No. 221. The formation enthalpy at 0 K comes out at 0.95 eV/atom. As for the final energy: -14.06 eV per cell. The calculation puts the density of states at the Fermi level at 5.54 states/eV per cell.

Lattice parameters (Å, degrees): 5.546 5.546 5.546 90.00 90.00 90.00
Sites, in units of the cell vectors:
Ca 0.000 0.000 0.500
Ga 0.500 0.500 0.500
Zr 0.000 0.000 0.000
Ca 0.000 0.500 0.000
Ca 0.500 0.000 0.000


Record 3
Ca2GdTaO6 after structural relaxation. Source: the Alexandria database, functional PBEsol.

Calculated values
As for the symmetry: No. 14. As for the final energy: -189.34 eV per cell. For the uncorrected formation energy, the calculation gives -73.58 kcal/mol of atoms. The calculation puts the density of states at the Fermi level at 0.00 states/eV per cell.

Lattice parameters (Å, degrees): 5.586 5.836 8.068 90.00 90.11 90.00
Sites, in units of the cell vectors:
Gd 0.000 0.000 0.500
Ca 0.984 0.555 0.746
O 0.825 0.285 0.930
O 0.175 0.715 0.070
Ta 0.000 0.000 0.000
Gd 0.500 0.500 0.000
O 0.790 0.319 0.556
O 0.325 0.215 0.430
O 0.382 0.447 0.731
O 0.710 0.819 0.944
O 0.118 0.947 0.769
O 0.882 0.053 0.231
O 0.675 0.785 0.570
O 0.290 0.181 0.056
Ca 0.484 0.945 0.246
Ca 0.016 0.445 0.254
O 0.618 0.553 0.269
O 0.210 0.681 0.444
Ta 0.500 0.500 0.500
Ca 0.516 0.055 0.754


Record 4
CaGdS2 after structural relaxation. Source: the Alexandria database, functional PBEsol.

Calculated values
As for the symmetry: No. 123. As for the final energy: -34.01 eV per cell. For the uncorrected formation energy, the calculation gives -49.90 kcal/mol of atoms. The calculation puts the density of states at the Fermi level at 1.98 states/eV per cell.

Lattice parameters (Å, degrees): 3.926 3.926 5.561 90.00 90.00 90.00
Sites, in units of the cell vectors:
S 0.500 0.500 0.000
Ca 0.000 0.000 0.000
S 0.000 0.000 0.500
Gd 0.500 0.500 0.500


Record 5
CaGe3 after structural relaxation. Source: the Alexandria database, functional PBEsol.

Calculated values
As for the symmetry: No. 139. The formation enthalpy at 0 K comes out at -0.34 eV/atom. As for the final energy: -73.19 eV per cell. The calculation puts the density of states at the Fermi level at 5.42 states/eV per cell.

Lattice parameters (Å, degrees): 7.560 7.740 7.560 119.24 90.00 119.24
Sites, in units of the cell vectors:
Ge 0.566 0.764 0.198
Ge 0.330 0.000 0.000
Ge 0.198 0.764 0.566
Ge 0.566 0.764 0.566
Ge 0.198 0.764 0.198
Ge 0.000 0.000 0.670
Ge 0.434 0.236 0.802
Ge 0.670 0.000 0.000
Ca 0.834 0.667 0.834
Ge 0.000 0.000 0.330
Ca 0.250 0.500 0.750
Ca 0.750 0.500 0.250
Ge 0.434 0.236 0.434
Ge 0.802 0.236 0.434
Ge 0.802 0.236 0.802
Ca 0.166 0.333 0.166


Record 6
Ca2Ge after structural relaxation. Source: the Alexandria database, functional PBEsol.

Calculated values
As for the symmetry: No. 62. The formation enthalpy at 0 K comes out at -0.64 eV/atom. As for the final energy: -44.56 eV per cell. The calculation puts the density of states at the Fermi level at 0.03 states/eV per cell.

Lattice parameters (Å, degrees): 4.803 7.508 8.964 90.00 90.00 90.00
Sites, in units of the cell vectors:
Ca 0.750 0.481 0.320
Ge 0.750 0.748 0.896
Ca 0.750 0.844 0.575
Ca 0.750 0.981 0.180
Ge 0.750 0.248 0.604
Ca 0.750 0.344 0.925
Ge 0.250 0.252 0.104
Ca 0.250 0.656 0.075
Ca 0.250 0.156 0.425
Ca 0.250 0.019 0.820
Ge 0.250 0.752 0.396
Ca 0.250 0.519 0.680